{
  "formula": "SrDyCo4O12",
  "functional": "PBE with a Hubbard U",
  "state": "relaxed",
  "final_energy_ev_per_atom": -5.808,
  "sg": "P4/mmm, No. 123",
  "magnetic_moment_mub_per_fu": 15.05,
  "mass_density_g_cm3": 5.35,
  "lattice_angstrom": [[5.300, 0.000, 0.000], [0.000, 5.300, 0.000], [0.000, 0.000, 7.484]],
  "species": ["O", "O", "O", "Co", "Co", "Co", "Co", "Dy", "O", "O", "Sr", "O", "O", "O", "O", "O", "O", "O"],
  "fractional_positions": [[0.000, 0.500, 0.000], [0.741, 0.259, 0.236], [0.741, 0.259, 0.764], [0.500, 0.000, 0.252], [0.000, 0.500, 0.252], [0.000, 0.500, 0.748], [0.500, 0.000, 0.748], [0.500, 0.500, 0.000], [0.259, 0.259, 0.764], [0.741, 0.741, 0.764], [0.000, 0.000, 0.500], [0.500, 0.000, 0.500], [0.259, 0.741, 0.764], [0.259, 0.259, 0.236], [0.741, 0.741, 0.236], [0.259, 0.741, 0.236], [0.000, 0.500, 0.500], [0.500, 0.000, 0.000]]
}